Record 1
Here is crystalline LiFe2Pd at its relaxed geometry from the Open Quantum Materials Database. Energies are from PBE.

Summary:
The symmetry is F-43m (216). The final energy is -23.48 eV per cell. The spin magnetization is 5.5 μB per cell.

```
LiFe2Pd
1.0
2.523 -0.861 3.158
0.404 2.687 3.114
-1.572 -0.892 3.717
Li Fe Pd
1 2 1
Direct
0.500 0.500 0.500
0.000 0.000 0.000
0.750 0.750 0.750
0.250 0.250 0.250
```

=====

Record 2
Here is crystalline Sr2NpN3 at its relaxed geometry from the Open Quantum Materials Database. Energies are from PBE.

Summary:
The symmetry is Cmc2_1 (36). The final energy is -93.96 eV per cell. The spin magnetization is 4.0 μB per cell.

```
Sr2NpN3
1.0
7.331 -2.667 0.000
7.331 2.667 0.000
0.000 0.000 5.310
N Np Sr
6 2 4
Direct
0.174 0.826 0.929
0.884 0.395 0.004
0.395 0.884 0.504
0.605 0.116 0.004
0.826 0.174 0.429
0.116 0.605 0.504
0.237 0.763 0.510
0.763 0.237 0.010
0.916 0.413 0.505
0.587 0.084 0.505
0.413 0.916 0.005
0.084 0.587 0.005
```

=====

Record 3
Here is crystalline TaHPbO4 at its relaxed geometry from the Open Quantum Materials Database. Energies are from PBE.

Summary:
The symmetry is P2/c (13). The final energy is -104.63 eV per cell. The spin magnetization is 0.0 μB per cell.

```
TaHPbO4
1.0
5.286 0.000 0.000
0.000 6.210 0.000
-0.143 0.000 5.363
O H Pb Ta
8 2 2 2
Direct
0.169 0.617 0.428
0.831 0.383 0.572
0.831 0.617 0.072
0.770 0.946 0.506
0.169 0.383 0.928
0.230 0.054 0.494
0.770 0.054 0.006
0.230 0.946 0.994
0.000 0.500 0.500
0.000 0.500 0.000
0.500 0.281 0.250
0.500 0.719 0.750
0.000 0.150 0.750
0.000 0.850 0.250
```

=====

Record 4
Here is crystalline NaErHf at its relaxed geometry from the Open Quantum Materials Database. Energies are from PBE.

Summary:
The symmetry is F-43m (216). The final energy is -11.79 eV per cell. The spin magnetization is 0.0 μB per cell.

```
NaErHf
1.0
0.000 3.670 3.670
3.670 0.000 3.670
3.670 3.670 0.000
Er Na Hf
1 1 1
Direct
0.250 0.250 0.250
0.750 0.750 0.750
0.000 0.000 0.000
```

=====

Record 5
Here is crystalline TlCuTe2WSe at its relaxed geometry from the Open Quantum Materials Database. Energies are from PBE.

Summary:
The symmetry is Cmcm (63). The final energy is -57.36 eV per cell. The spin magnetization is 1.4 μB per cell.

```
TlCuTe2WSe
1.0
2.976 2.741 7.094
-4.991 0.343 -6.455
-6.680 -5.376 4.880
Se W Tl Te Cu
2 2 2 4 2
Direct
0.436 0.564 0.750
0.564 0.436 0.250
0.500 0.500 0.000
0.500 0.500 0.500
0.759 0.241 0.750
0.241 0.759 0.250
0.873 0.127 0.044
0.127 0.873 0.956
0.127 0.873 0.544
0.873 0.127 0.456
0.030 0.970 0.750
0.970 0.030 0.250
```

=====

Record 6
Here is crystalline AlCdPd2 at its relaxed geometry from the Open Quantum Materials Database. Energies are from PBE.

Summary:
The symmetry is F-43m (216). The final energy is -16.52 eV per cell.

```
AlCdPd2
1.0
0.000 3.193 3.193
3.193 0.000 3.193
3.193 3.193 0.000
Al Pd Cd
1 2 1
Direct
0.500 0.500 0.500
0.750 0.750 0.750
0.000 0.000 0.000
0.250 0.250 0.250
```

=====

Record 7
Here is crystalline Dy2Ag3Au at its relaxed geometry from the Open Quantum Materials Database. Energies are from PBE.

Summary:
The symmetry is P4mm (99). The formation enthalpy at 0 K comes out at -480.7 meV per atom. The final energy is -23.83 eV per cell. The spin magnetization is 0.0 μB per cell.

```
Dy2Ag3Au
1.0
3.724 0.000 0.000
0.000 3.724 0.000
0.000 0.000 9.197
Dy Ag Au
2 3 1
Direct
0.000 0.000 0.503
0.500 0.500 0.993
0.500 0.500 0.666
0.000 0.000 0.172
0.500 0.500 0.329
0.000 0.000 0.837
```

=====

Record 8
Here is crystalline PrAgTe at its relaxed geometry from the Open Quantum Materials Database. Energies are from PBE.

Summary:
The symmetry is F-43m (216). The final energy is -12.20 eV per cell. The spin magnetization is 0.0 μB per cell.

```
PrAgTe
1.0
0.000 3.527 3.527
3.527 0.000 3.527
3.527 3.527 0.000
Ag Pr Te
1 1 1
Direct
0.000 0.000 0.000
0.250 0.250 0.250
0.750 0.750 0.750
```

=====

Record 9
Here is crystalline TaBiN2O at its relaxed geometry from the Open Quantum Materials Database. Energies are from PBE.

Summary:
The symmetry is Pmc2_1 (26). The final energy is -166.82 eV per cell. The spin magnetization is 0.0 μB per cell.

```
TaBiN2O
1.0
8.140 0.000 0.000
0.000 5.651 0.000
0.000 0.000 5.728
Ta N O Bi
4 8 4 4
Direct
0.244 0.256 0.987
0.756 0.256 0.987
0.756 0.744 0.487
0.244 0.744 0.487
0.217 0.554 0.808
0.000 0.832 0.506
0.783 0.554 0.808
0.500 0.319 0.035
0.000 0.168 0.006
0.217 0.446 0.308
0.500 0.681 0.535
0.783 0.446 0.308
0.716 0.949 0.212
0.284 0.051 0.712
0.284 0.949 0.212
0.716 0.051 0.712
0.000 0.745 0.005
0.000 0.255 0.505
0.500 0.284 0.438
0.500 0.716 0.938
```

=====

Record 10
Here is crystalline NdPuBC2 at its relaxed geometry from the Open Quantum Materials Database. Energies are from PBE.

Summary:
The symmetry is Cm (8). The final energy is -45.31 eV per cell. The spin magnetization is 5.3 μB per cell.

```
NdPuBC2
1.0
1.095 3.449 -0.942
-2.011 1.409 2.820
4.753 -2.819 2.396
C B Nd Pu
2 1 1 1
Direct
0.864 0.864 0.732
0.141 0.141 0.279
0.003 0.003 0.005
0.641 0.641 0.275
0.350 0.350 0.708
```

=====

Record 11
Here is crystalline YW at its relaxed geometry from the Open Quantum Materials Database. Energies are from PBE.

Summary:
The symmetry is Fm-3m (225). The formation enthalpy at 0 K comes out at 1805.2 meV per atom. The final energy is -15.82 eV per cell. The spin magnetization is 0.0 μB per cell.

```
YW
1.0
0.154 2.419 3.327
-2.332 -0.862 3.281
1.749 -1.374 3.464
W Y
1 1
Direct
0.000 0.000 0.000
0.500 0.500 0.500
```

=====

Record 12
Here is crystalline BaLi2NiSe3S at its relaxed geometry from the Open Quantum Materials Database. Energies are from PBE.

Summary:
The symmetry is Cm (8). The final energy is -32.96 eV per cell. The spin magnetization is 2.0 μB per cell.

```
BaLi2NiSe3S
1.0
-4.514 -4.417 1.060
3.403 -0.605 5.391
-2.222 5.795 -1.039
Li Ni Se S Ba
2 1 3 1 1
Direct
0.230 0.751 0.496
0.751 0.230 0.496
0.521 0.521 0.025
0.533 0.154 0.999
0.465 0.465 0.616
0.154 0.533 0.999
0.855 0.855 0.380
0.993 0.993 0.988
```